## P
Below is a geometry-optimized ZnIr2Pt2 structure, with properties calculated at the GGA-PBE level.

Calculated values
Its crystal system is tetragonal. As for the mass density: 17.24 Mg/m³.

Cell: 6.5952 6.5952 3.7198 Å, 90.00 90.00 90.00°
Space group P4/mbm (No. 127)
Asymmetric unit:
Zn  0.0000  0.0000  0.0000 [2 per cell]
Ir  0.1359  0.3641  0.0000 [4 per cell]
Pt  0.1618  0.6618  0.5000 [4 per cell]



## Q
Below is a geometry-optimized ZnIr2Pt2 structure, with properties calculated at the GGA-PBE level.

Calculated values
Its crystal system is tetragonal. As for the mass density: 16.29 Mg/m³.

Cell: 3.7058 3.7058 12.4713 Å, 90.00 90.00 90.00°
Space group I4/mmm (No. 139)
Asymmetric unit:
Zn  0.0000  0.0000  0.0000 [2 per cell]
Ir  0.0000  0.0000  0.4040 [4 per cell]
Pt  0.0000  0.5000  0.2500 [4 per cell]



Quick one: least stable of them? Q



## P
Below is a geometry-optimized Zr2IrPt2 structure, with properties calculated at the GGA-PBE level.

Calculated values
Its crystal system is tetragonal. As for the mass density: 13.33 Mg/m³.

Cell: 7.5340 7.5340 3.3559 Å, 90.00 90.00 90.00°
Space group P4/mbm (No. 127)
Asymmetric unit:
Zr  0.1677  0.3323  0.0000 [4 per cell]
Ir  0.0000  0.0000  0.0000 [2 per cell]
Pt  0.1310  0.6310  0.5000 [4 per cell]



## Q
Below is a geometry-optimized Zr2IrPt2 structure, with properties calculated at the GGA-PBE level.

Calculated values
Its crystal system is tetragonal. As for the mass density: 13.82 Mg/m³.

Cell: 7.3839 7.3839 3.3714 Å, 90.00 90.00 90.00°
Space group P4/mbm (No. 127)
Asymmetric unit:
Zr  0.1739  0.3261  0.0000 [4 per cell]
Ir  0.0000  0.0000  0.5000 [2 per cell]
Pt  0.1306  0.6306  0.5000 [4 per cell]



Quick one: least stable of them? P